1.
The following is a PBE-GGA calculation of an optimized crystal structure of Hg4HPb2, from the Alexandria database.

extended XYZ file:
```
7
Lattice="3.2939 -0.9852 -0.5559 -0.8873 3.3156 -0.2820 -3.2218 0.0734 18.5415" Properties=species:S:1:pos:R:3 pbc="T T T"
Hg -0.0556 2.2055 1.6172
Hg -2.3565 1.7042 13.6027
Hg -0.7596 0.1983 16.0864
Hg 1.5413 0.6996 4.1010
H -0.4437 1.6578 -0.1410
Pb -0.0821 0.1762 7.3905
Pb -0.7331 2.2276 10.3131
```

Summary:
- Space group: P-1 (2)
- Electronic total energy: -11.072 eV/cell

=====

2.
The following is a PBE-GGA calculation of an optimized crystal structure of Ce8HgRh2, from the Alexandria database.

extended XYZ file:
```
11
Lattice="-2.5985 1.7220 -5.5599 3.2919 -6.6266 -2.4301 -2.7390 -7.2883 0.1836" Properties=species:S:1:pos:R:3 pbc="T T T"
Ce -2.1762 -8.0926 -2.8361
Ce -2.9279 -4.4358 -3.6449
Ce 0.1118 -10.7555 -2.4648
Ce -2.1573 -1.4374 -5.3417
Ce 0.8824 -7.7570 -4.1616
Ce 0.1306 -4.1003 -4.9704
Ce -1.7989 -6.0172 -5.6740
Ce -0.2467 -6.1757 -2.1325
Hg 0.0000 0.0000 0.0000
Rh -1.4097 -8.8687 -5.4978
Rh -0.6358 -3.3242 -2.3086
```

Summary:
- Space group: C2/m (12)
- Formation energy from the elements: -2.54 eV per formula unit
- Electronic total energy: -65.015 eV/cell

=====

3.
The following is a PBE-GGA calculation of an optimized crystal structure of Mg3TlRh, from the Alexandria database.

extended XYZ file:
```
5
Lattice="4.9934 0.0000 0.0000 0.0000 4.9934 0.0000 0.0000 0.0000 4.9934" Properties=species:S:1:pos:R:3 pbc="T T T"
Tl 2.4967 2.4967 2.4967
Rh 0.0000 0.0000 0.0000
Mg 0.0000 2.4967 0.0000
Mg 0.0000 0.0000 2.4967
Mg 2.4967 0.0000 0.0000
```

Summary:
- Space group: Pm-3m (221)
- Formation energy from the elements: -0.46 eV per formula unit
- Electronic total energy: -14.966 eV/cell

=====

4.
The following is a PBE-GGA calculation of an optimized crystal structure of Ta3GaBr, from the Alexandria database.

extended XYZ file:
```
5
Lattice="-0.9313 3.4710 3.0506 -4.4909 -1.4133 0.2371 1.0892 -2.8594 3.5860" Properties=species:S:1:pos:R:3 pbc="T T T"
Ga -2.1665 -0.4009 3.4369
Br 0.0000 0.0000 0.0000
Ta -2.2454 -0.7067 0.1185
Ta 0.5446 -1.4297 1.7930
Ta -0.4656 1.7355 1.5253
```

Summary:
- Space group: Pm-3m (221)
- Formation energy without anion corrections: 7.4 eV/f.u.
- Electronic total energy: -32.830 eV/cell

=====

no.,magnetic moment (μB/f.u.)
1,0.00
2,3.58
3,0.00
4,0.00